Record 1
Entry from the Alexandria database: a geometry-optimized PmPaPb2O8 structure (GGA-PBE).

Calculated values
E_form (uncorrected), eV per formula unit: -24.7
DFT total energy, eV per atom: -7.173

Unit cell a=6.3361 b=6.3361 c=6.3361 alpha=109.12 beta=109.12 gamma=110.18
Last column: nearest neighbours and their distance in Å.
Positions (direct):
O  0.2922  0.4882  0.1960  1 Pb 2.08, 1 Pa 2.25
O  0.5118  0.7078  0.8040  1 Pb 2.08, 1 Pa 2.25
Pb  0.7500  0.2500  0.5000  4 O 2.08
O  0.9718  0.6515  0.6797  1 Pb 2.08
Pb  0.5000  0.5000  0.0000  4 O 2.08
O  0.3485  0.0282  0.3203  1 Pb 2.08
O  0.2922  0.0962  0.8040  1 Pb 2.08, 1 Pa 2.25
O  0.9038  0.7078  0.1960  1 Pb 2.08, 1 Pa 2.25
O  0.7079  0.0282  0.6797  1 Pb 2.08
O  0.9718  0.2921  0.3203  1 Pb 2.08
Pm  0.0000  0.0000  0.0000  8 O 2.36-2.56
Pa  0.2500  0.7500  0.5000  8 O 2.25-2.41



Record 2
Entry from the Alexandria database: a geometry-optimized Zr2NpPaN4 structure (GGA-PBE).

Calculated values
E_form (uncorrected), eV per formula unit: -12.5
DFT total energy, eV per atom: -10.661

Unit cell a=3.3547 b=5.8866 c=5.8075 alpha=70.78 beta=90.00 gamma=90.00
Last column: nearest neighbours and their distance in Å.
Positions (direct):
N  0.0000  0.7635  0.7444  3 Zr 2.34-2.35, 1 Pa 2.42, 2 Np 2.43
Zr  0.0000  0.0000  0.0000  6 N 2.34-2.35
Zr  0.5000  0.0000  0.5000  6 N 2.33-2.34
N  0.5000  0.2345  0.7536  3 Zr 2.33-2.34, 2 Pa 2.43, 1 Np 2.44
N  0.0000  0.2365  0.2556  3 Zr 2.34-2.35, 1 Pa 2.42, 2 Np 2.43
Pa  0.0000  0.5000  0.5000  6 N 2.42-2.43
Np  0.5000  0.5000  0.0000  6 N 2.43-2.44
N  0.5000  0.7655  0.2464  3 Zr 2.33-2.34, 2 Pa 2.43, 1 Np 2.44



Record 3
Entry from the Alexandria database: a geometry-optimized KZr2Rh structure (GGA-PBE).

Calculated values
Energy of formation from the pure elements, meV/atom: 497
DFT total energy, eV per atom: -5.889

Unit cell a=4.9155 b=4.9155 c=4.9155 alpha=60.00 beta=60.00 gamma=60.00
Last column: nearest neighbours and their distance in Å.
Positions (direct):
Zr  0.7500  0.7500  0.7500  4 Rh 3.01, 4 K 3.01
Zr  0.2500  0.2500  0.2500  4 Rh 3.01, 4 K 3.01
K  0.0000  0.0000  0.0000  8 Zr 3.01
Rh  0.5000  0.5000  0.5000  8 Zr 3.01



Record 4
Entry from the Alexandria database: a geometry-optimized Nd8Sm3Tm4 structure (GGA-PBE).

Calculated values
Energy of formation from the pure elements, meV/atom: 334
DFT total energy, eV per atom: -4.345

Unit cell a=6.8724 b=9.3970 c=9.3970 alpha=81.57 beta=113.02 gamma=113.02
Last column: nearest neighbours and their distance in Å.
Positions (direct):
Tm  0.0000  0.0000  0.0000  2 Nd 3.00
Nd  0.5000  0.2459  0.7541  1 Tm 3.02, 1 Sm 3.12
Tm  0.5000  0.0000  0.0000  2 Nd 3.02
Nd  0.2396  0.7042  0.7042  4 Nd 3.37-3.63, 2 Sm 3.44, 3 Tm 3.63-3.70
Nd  0.1845  0.2427  0.2427  3 Tm 3.00-3.34, 1 Sm 3.15
Tm  0.0000  0.0000  0.5000  8 Nd 3.34-3.70, 2 Sm 3.44
Nd  0.0000  0.2940  0.7060  2 Sm 3.48, 4 Nd 3.49-3.55, 3 Tm 3.60-3.61
Nd  0.8155  0.7573  0.7573  3 Tm 3.00-3.34, 1 Sm 3.15
Sm  0.5000  0.5000  0.0000  2 Tm 3.44, 8 Nd 3.44-3.73
Sm  0.5000  0.0000  0.5000  2 Tm 3.44, 8 Nd 3.44-3.73
Nd  0.7604  0.2958  0.2958  4 Nd 3.37-3.63, 2 Sm 3.44, 3 Tm 3.63-3.70
Nd  0.5000  0.7541  0.2459  1 Tm 3.02, 1 Sm 3.12
Tm  0.0000  0.5000  0.0000  8 Nd 3.34-3.70, 2 Sm 3.44
Nd  0.0000  0.7060  0.2940  2 Sm 3.48, 4 Nd 3.49-3.55, 3 Tm 3.60-3.61
Sm  0.5000  0.5000  0.5000  4 Nd 3.12-3.15



Record 5
Entry from the Alexandria database: a geometry-optimized TaAlFe2 structure (GGA-PBE).

Calculated values
Energy of formation from the pure elements, meV/atom: -32
DFT total energy, eV per atom: -8.163

Unit cell a=5.2260 b=4.8468 c=2.6712 alpha=79.69 beta=79.68 gamma=119.32
Last column: nearest neighbours and their distance in Å.
Positions (direct):
Ta  0.0000  0.5000  0.5000  4 Fe 2.55, 2 Ta 2.67, 2 Al 2.71
Al  0.5000  0.5000  0.0000  4 Fe 2.55, 2 Al 2.67, 2 Ta 2.71
Fe  0.0000  0.0000  0.0000  2 Ta 2.55, 2 Al 2.55, 4 Fe 2.67-2.71
Fe  0.5000  0.0000  0.5000  2 Al 2.55, 2 Ta 2.55, 4 Fe 2.67-2.71



Record 6
Entry from the Alexandria database: a geometry-optimized UVP2Ru structure (GGA-PBE).

Calculated values
Energy of formation from the pure elements, meV/atom: -718
DFT total energy, eV per atom: -8.818

Unit cell a=4.0265 b=4.0265 c=5.5947 alpha=111.09 beta=111.09 gamma=90.00
Last column: nearest neighbours and their distance in Å.
Positions (direct):
U  0.0000  0.0000  0.0000  8 P 3.07, 4 Ru 3.14, 4 V 3.14
P  0.3796  0.3796  0.7591  1 P 2.32, 2 Ru 2.37, 2 V 2.37
P  0.6204  0.6204  0.2409  1 P 2.32, 2 Ru 2.37, 2 V 2.37
V  0.7500  0.2500  0.5000  4 P 2.37
Ru  0.2500  0.7500  0.5000  4 P 2.37



Record 7
Entry from the Alexandria database: a geometry-optimized Sn12Hg3Se5 structure (GGA-PBE).

Calculated values
E_form (uncorrected), eV per formula unit: 0.8
DFT total energy, eV per atom: -3.279

Unit cell a=14.9605 b=14.9605 c=14.9605 alpha=109.47 beta=109.47 gamma=109.47
Last column: nearest neighbours and their distance in Å.
Positions (direct):
Sn  0.8289  0.9289  0.0618  2 Se 2.86-2.99, 1 Hg 2.98
Sn  0.8672  0.2671  0.4382  2 Se 2.86-2.99, 1 Hg 2.98
Hg  0.8750  0.7500  0.1250  8 Sn 2.98-3.32
Sn  0.4382  0.6711  0.0711  2 Se 2.86-2.99, 1 Hg 2.98
Sn  0.5711  0.9382  0.6711  2 Se 2.86-2.99, 1 Hg 2.98
Sn  0.7329  0.1328  0.0618  2 Se 2.86-2.99, 1 Hg 2.98
Sn  0.9382  0.5711  0.1711  2 Se 2.86-2.99, 1 Hg 2.98
Sn  0.0711  0.8999  0.1328  2 Se 2.86-2.99, 1 Hg 2.98
Sn  0.7329  0.6001  0.1711  2 Se 2.86-2.99, 1 Hg 2.98
Sn  0.0711  0.1711  0.4382  2 Se 2.86-2.99, 1 Hg 2.98
Sn  0.1328  0.7329  0.5618  2 Se 2.86-2.99, 1 Hg 2.98
Sn  0.8289  0.8999  0.2671  2 Se 2.86-2.99, 1 Hg 2.98
Sn  0.0618  0.4289  0.8289  2 Se 2.86-2.99, 1 Hg 2.98
Sn  0.1001  0.9289  0.3672  2 Se 2.86-2.99, 1 Hg 2.98
Se  0.7500  0.1250  0.8750  4 Sn 2.86
Sn  0.2329  0.5618  0.6328  2 Se 2.86-2.99, 1 Hg 2.98
Se  0.5000  0.5000  0.0000  6 Sn 2.99
Sn  0.4289  0.3672  0.6001  2 Se 2.86-2.99, 1 Hg 2.98
Sn  0.8999  0.8289  0.7671  2 Se 2.86-2.99, 1 Hg 2.98
Sn  0.1711  0.1001  0.7329  2 Se 2.86-2.99, 1 Hg 2.98
Sn  0.3999  0.2671  0.3289  2 Se 2.86-2.99, 1 Hg 2.98
Sn  0.6711  0.2329  0.6001  2 Se 2.86-2.99, 1 Hg 2.98
Hg  0.1250  0.2500  0.8750  8 Sn 2.98-3.32
Se  0.6250  0.8750  0.2500  4 Sn 2.86
Se  0.8750  0.2500  0.6250  4 Sn 2.86
Se  0.1250  0.3750  0.2500  4 Sn 2.86
Sn  0.5618  0.2329  0.1328  2 Se 2.86-2.99, 1 Hg 2.98
Sn  0.7671  0.3289  0.8999  2 Se 2.86-2.99, 1 Hg 2.98
Sn  0.3672  0.9382  0.7671  2 Se 2.86-2.99, 1 Hg 2.98
Se  0.0000  0.5000  0.0000  6 Sn 2.99
Sn  0.7671  0.4382  0.3672  2 Se 2.86-2.99, 1 Hg 2.98
Se  0.3750  0.2500  0.1250  4 Sn 2.86
Se  0.1250  0.7500  0.3750  4 Sn 2.86
Hg  0.3750  0.7500  0.6250  8 Sn 2.98-3.32
Sn  0.8999  0.0711  0.6328  2 Se 2.86-2.99, 1 Hg 2.98
Hg  0.1250  0.8750  0.7500  8 Sn 2.98-3.32
Se  0.2500  0.3750  0.6250  4 Sn 2.86
Sn  0.0618  0.6328  0.7329  2 Se 2.86-2.99, 1 Hg 2.98
Sn  0.6328  0.0618  0.2329  2 Se 2.86-2.99, 1 Hg 2.98
Hg  0.7500  0.8750  0.6250  8 Sn 2.98-3.32
Hg  0.2500  0.1250  0.3750  8 Sn 2.98-3.32
Se  0.5000  0.0000  0.5000  6 Sn 2.99
Sn  0.5711  0.6328  0.3999  2 Se 2.86-2.99, 1 Hg 2.98
Hg  0.3750  0.6250  0.2500  8 Sn 2.98-3.32
Sn  0.1001  0.1711  0.2329  2 Se 2.86-2.99, 1 Hg 2.98
Sn  0.3672  0.4289  0.1001  2 Se 2.86-2.99, 1 Hg 2.98
Se  0.8750  0.6250  0.7500  4 Sn 2.86
Sn  0.6328  0.5711  0.8999  2 Se 2.86-2.99, 1 Hg 2.98
Sn  0.6001  0.7329  0.6711  2 Se 2.86-2.99, 1 Hg 2.98
Sn  0.3289  0.7671  0.3999  2 Se 2.86-2.99, 1 Hg 2.98
Se  0.6250  0.7500  0.8750  4 Sn 2.86
Hg  0.8750  0.1250  0.2500  8 Sn 2.98-3.32
Se  0.5000  0.0000  0.0000  6 Sn 2.99
Hg  0.7500  0.3750  0.1250  8 Sn 2.98-3.32
Se  0.7500  0.6250  0.3750  4 Sn 2.86
Sn  0.1328  0.3999  0.0711  2 Se 2.86-2.99, 1 Hg 2.98
Sn  0.6001  0.8672  0.4289  2 Se 2.86-2.99, 1 Hg 2.98
Sn  0.4289  0.0618  0.3289  2 Se 2.86-2.99, 1 Hg 2.98
Sn  0.2671  0.8672  0.9382  2 Se 2.86-2.99, 1 Hg 2.98
Sn  0.9289  0.1001  0.8672  2 Se 2.86-2.99, 1 Hg 2.98
Sn  0.4382  0.7671  0.8672  2 Se 2.86-2.99, 1 Hg 2.98
Sn  0.3999  0.1328  0.5711  2 Se 2.86-2.99, 1 Hg 2.98
Hg  0.6250  0.3750  0.7500  8 Sn 2.98-3.32
Sn  0.2671  0.3999  0.8289  2 Se 2.86-2.99, 1 Hg 2.98
Se  0.0000  0.0000  0.0000  6 Sn 2.99
Se  0.2500  0.8750  0.1250  4 Sn 2.86
Sn  0.9382  0.3672  0.2671  2 Se 2.86-2.99, 1 Hg 2.98
Sn  0.9289  0.8289  0.5618  2 Se 2.86-2.99, 1 Hg 2.98
Sn  0.2329  0.6711  0.1001  2 Se 2.86-2.99, 1 Hg 2.98
Sn  0.8672  0.6001  0.9289  2 Se 2.86-2.99, 1 Hg 2.98
Sn  0.6711  0.4382  0.5711  2 Se 2.86-2.99, 1 Hg 2.98
Se  0.0000  0.0000  0.5000  6 Sn 2.99
Hg  0.6250  0.2500  0.3750  8 Sn 2.98-3.32
Sn  0.5618  0.3289  0.9289  2 Se 2.86-2.99, 1 Hg 2.98
Hg  0.2500  0.6250  0.8750  8 Sn 2.98-3.32
Se  0.3750  0.1250  0.7500  4 Sn 2.86
Sn  0.1711  0.0711  0.9382  2 Se 2.86-2.99, 1 Hg 2.98
Sn  0.3289  0.5618  0.4289  2 Se 2.86-2.99, 1 Hg 2.98
Se  0.5000  0.5000  0.5000  6 Sn 2.99
Se  0.0000  0.5000  0.5000  6 Sn 2.99



Record 8
Entry from the Alexandria database: a geometry-optimized CsNaSiO3 structure (GGA-PBE).

Calculated values
E_form (uncorrected), eV per formula unit: -13.8
DFT total energy, eV per atom: -6.043

Unit cell a=8.5953 b=8.5953 c=8.5953 alpha=90.80 beta=90.80 gamma=90.80
Last column: nearest neighbours and their distance in Å.
Positions (direct):
O  0.9787  0.3518  0.3518  1 Si 1.62
Na  0.0003  0.3684  0.6313  4 O 2.40-2.42
O  0.6471  0.0224  0.6471  1 Si 1.63
O  0.8000  0.2707  0.8000  1 Si 1.62
O  0.3518  0.3518  0.9787  1 Si 1.62
Na  0.6313  0.3684  0.0003  4 O 2.40-2.42
O  0.2868  0.7150  0.5006  2 Si 1.67-1.68
O  0.2707  0.8000  0.8000  1 Si 1.62
Cs  0.3405  0.3405  0.3405  3 O 3.12
O  0.7150  0.5006  0.2868  2 Si 1.67-1.68
Si  0.2088  0.6727  0.6727  4 O 1.62-1.67
Cs  0.9981  0.9981  0.5081  6 O 3.06-3.35, 4 Na 3.34-3.36
Si  0.3278  0.3278  0.7921  4 O 1.62-1.68
Na  0.0003  0.6313  0.3684  4 O 2.40-2.42
Si  0.6727  0.2088  0.6727  4 O 1.62-1.67
Cs  0.0100  0.0100  0.0100  6 O 3.38-3.42
Si  0.3278  0.7921  0.3278  4 O 1.62-1.68
O  0.7150  0.2868  0.5006  2 Si 1.67-1.68
O  0.7281  0.2010  0.2010  1 Si 1.62
Na  0.6313  0.0003  0.3684  4 O 2.40-2.42
Na  0.3684  0.6313  0.0003  4 O 2.40-2.42
O  0.8000  0.8000  0.2707  1 Si 1.62
Cs  0.9981  0.5081  0.9981  6 O 3.06-3.35, 4 Na 3.34-3.36
O  0.5006  0.2868  0.7150  2 Si 1.67-1.68
Si  0.6727  0.6727  0.2088  4 O 1.62-1.67
O  0.2010  0.7281  0.2010  1 Si 1.62
O  0.2868  0.5006  0.7150  2 Si 1.67-1.68
O  0.3518  0.9787  0.3518  1 Si 1.62
Si  0.7921  0.3278  0.3278  4 O 1.62-1.68
O  0.2010  0.2010  0.7281  1 Si 1.62
Na  0.3684  0.0003  0.6313  4 O 2.40-2.42
O  0.5006  0.7150  0.2868  2 Si 1.67-1.68
Cs  0.5081  0.9981  0.9981  6 O 3.06-3.35, 4 Na 3.34-3.36
O  0.6471  0.6471  0.0224  1 Si 1.63
O  0.0224  0.6471  0.6471  1 Si 1.63
Cs  0.6574  0.6574  0.6574  9 O 3.14-3.49



Record 9
Entry from the Alexandria database: a geometry-optimized BeTlTeO6 structure (GGA-PBE).

Calculated values
E_form (uncorrected), eV per formula unit: -9.0
DFT total energy, eV per atom: -5.335

Unit cell a=5.0426 b=5.0426 c=9.4981 alpha=90.00 beta=90.00 gamma=120.00
Last column: nearest neighbours and their distance in Å.
Positions (direct):
O  0.0130  0.3746  0.6412  1 Be 1.86, 1 Te 1.95
O  0.6254  0.9870  0.8588  1 Be 1.86, 1 Te 1.95
O  0.6384  0.6254  0.1412  1 Be 1.86, 1 Te 1.95
Tl  0.0000  0.0000  0.0000  6 O 2.29
O  0.6384  0.0130  0.3588  1 Be 1.86, 1 Te 1.95
Be  0.3333  0.6667  0.7500  6 O 1.86
Be  0.6667  0.3333  0.2500  6 O 1.86
O  0.3746  0.3616  0.3588  1 Be 1.86, 1 Te 1.95
O  0.3746  0.0130  0.1412  1 Be 1.86, 1 Te 1.95
O  0.9870  0.6254  0.3588  1 Be 1.86, 1 Te 1.95
Te  0.6667  0.3333  0.7500  6 O 1.95
O  0.3616  0.9870  0.6412  1 Be 1.86, 1 Te 1.95
O  0.9870  0.3616  0.1412  1 Be 1.86, 1 Te 1.95
Te  0.3333  0.6667  0.2500  6 O 1.95
O  0.0130  0.6384  0.8588  1 Be 1.86, 1 Te 1.95
O  0.3616  0.3746  0.8588  1 Be 1.86, 1 Te 1.95
Tl  0.0000  0.0000  0.5000  6 O 2.29
O  0.6254  0.6384  0.6412  1 Be 1.86, 1 Te 1.95



Question: Which formula does entry 3 have?
Answer: KZr2Rh



Question: The highest DFT total energy belongs to which entry?
Answer: Sn12Hg3Se5



Question: The lowest DFT total energy belongs to which entry?
Answer: Zr2NpPaN4



Question: The lowest DFT total energy belongs to which entry?
Answer: Zr2NpPaN4